one:
{
  "formula": "ScCr2Os",
  "functional": "PBE-GGA",
  "state": "optimized geometry",
  "vol_a3_per_atom": 14.25,
  "m_tot_mub_per_fu": 0.1,
  "lattice_angstrom": [[-1.501, 2.218, 4.281], [1.501, -2.218, 4.281], [1.501, 2.218, -4.281]],
  "species": ["Sc", "Cr", "Cr", "Os"],
  "fractional_positions": [[0.000, 0.000, 0.000], [0.268, 0.768, 0.500], [0.488, 0.488, 0.000], [0.732, 0.232, 0.500]]
}

two:
{
  "formula": "ScCr2Os",
  "functional": "PBE-GGA",
  "state": "optimized geometry",
  "vol_a3_per_atom": 14.51,
  "m_tot_mub_per_fu": 0.0,
  "lattice_angstrom": [[3.012, 0.000, 0.000], [0.000, 3.012, 0.000], [0.000, 0.000, 6.396]],
  "species": ["Sc", "Cr", "Cr", "Os"],
  "fractional_positions": [[0.000, 0.000, 0.000], [0.500, 0.500, 0.276], [0.500, 0.500, 0.724], [0.000, 0.000, 0.500]]
}

three:
{
  "formula": "ScCr2Os",
  "functional": "PBE-GGA",
  "state": "optimized geometry",
  "vol_a3_per_atom": 16.82,
  "m_tot_mub_per_fu": 3.0,
  "lattice_angstrom": [[-3.535, 3.535, 2.692], [3.535, -3.535, 2.692], [3.535, 3.535, -2.692]],
  "species": ["Sc", "Sc", "Cr", "Cr", "Cr", "Cr", "Os", "Os"],
  "fractional_positions": [[0.000, 0.000, 0.000], [0.750, 0.250, 0.500], [0.174, 0.125, 0.549], [0.375, 0.826, 0.951], [0.576, 0.625, 0.451], [0.875, 0.424, 0.049], [0.250, 0.750, 0.500], [0.500, 0.500, 0.000]]
}

Which of them is least stable? Easy: three.

one:
{
  "formula": "Sc2Cr2Os",
  "functional": "PBE-GGA",
  "state": "optimized geometry",
  "vol_a3_per_atom": 16.75,
  "m_tot_mub_per_fu": 0.0,
  "lattice_angstrom": [[6.142, 0.000, 0.000], [0.000, 6.142, 0.000], [0.000, 0.000, 4.440]],
  "species": ["Sc", "Sc", "Sc", "Sc", "Cr", "Cr", "Cr", "Cr", "Os", "Os"],
  "fractional_positions": [[0.178, 0.322, 0.000], [0.322, 0.822, 0.000], [0.678, 0.178, 0.000], [0.822, 0.678, 0.000], [0.126, 0.626, 0.500], [0.374, 0.126, 0.500], [0.626, 0.874, 0.500], [0.874, 0.374, 0.500], [0.000, 0.000, 0.500], [0.500, 0.500, 0.500]]
}

two:
{
  "formula": "Sc2Cr2Os",
  "functional": "PBE-GGA",
  "state": "optimized geometry",
  "vol_a3_per_atom": 16.95,
  "m_tot_mub_per_fu": 0.2,
  "lattice_angstrom": [[-1.912, 1.912, 5.791], [1.912, -1.912, 5.791], [1.912, 1.912, -5.791]],
  "species": ["Sc", "Sc", "Cr", "Cr", "Os"],
  "fractional_positions": [[0.250, 0.750, 0.500], [0.750, 0.250, 0.500], [0.077, 0.077, 0.000], [0.923, 0.923, 0.000], [0.500, 0.500, 0.000]]
}

Which of them is least stable? Easy: two.